Entry 1:
Density functional theory data (GGA-PBE) for a geometry-optimized LaYTmTl structure.

Lattice parameters (Å, degrees): 5.556 5.556 5.556 60.00 60.00 60.00
Fractional positions:
La 0.000 0.000 0.000
Y 0.500 0.500 0.500
Tm 0.250 0.250 0.250
Tl 0.750 0.750 0.750

=====

Entry 2:
Density functional theory data (GGA-PBE) for a geometry-optimized La2YTmTl2 structure.

Lattice parameters (Å, degrees): 5.077 10.248 7.013 90.00 90.00 90.00
Fractional positions:
La 0.000 0.063 0.000
La 0.000 0.937 0.500
La 0.500 0.176 0.224
La 0.500 0.824 0.724
Y 0.500 0.457 0.872
Y 0.500 0.543 0.372
Tm 0.000 0.306 0.577
Tm 0.000 0.694 0.077
Tl 0.000 0.392 0.136
Tl 0.000 0.608 0.636
Tl 0.500 0.152 0.709
Tl 0.500 0.848 0.209

=====

Entry 3:
Density functional theory data (GGA-PBE) for a geometry-optimized LaTlV2 structure.

Lattice parameters (Å, degrees): 5.064 5.064 5.064 60.00 60.00 60.00
Fractional positions:
La 0.000 0.000 0.000
Tl 0.500 0.500 0.500
V 0.250 0.250 0.250
V 0.750 0.750 0.750

Results
Distance to the lowest polymorph of the same formula = 0.0 meV/atom

=====

Entry 4:
Density functional theory data (GGA-PBE) for a geometry-optimized LaTlV2 structure.

Lattice parameters (Å, degrees): 6.467 6.467 6.467 103.64 103.64 121.90
Fractional positions:
La 0.000 0.000 0.000
La 0.750 0.250 0.500
Tl 0.250 0.750 0.500
Tl 0.500 0.500 0.000
V 0.156 0.625 0.031
V 0.375 0.406 0.531
V 0.594 0.125 0.969
V 0.875 0.844 0.469

Results
Distance to the lowest polymorph of the same formula = 375.5 meV/atom

=====

Entry 5:
Density functional theory data (GGA-PBE) for a geometry-optimized La3TlV structure.

Lattice parameters (Å, degrees): 5.412 5.412 5.412 90.00 90.00 90.00
Fractional positions:
La 0.000 0.000 0.500
La 0.000 0.500 0.000
La 0.500 0.000 0.000
Tl 0.500 0.500 0.500
V 0.000 0.000 0.000

=====

Entry 6:
Density functional theory data (GGA-PBE) for a geometry-optimized La2TlV structure.

Lattice parameters (Å, degrees): 11.541 11.541 11.541 16.90 16.90 16.90
Fractional positions:
La 0.081 0.081 0.081
La 0.919 0.919 0.919
Tl 0.500 0.500 0.500
V 0.000 0.000 0.000

Results
Distance to the lowest polymorph of the same formula = 422.3 meV/atom

=====

Entry 7:
Density functional theory data (GGA-PBE) for a geometry-optimized La2TlV structure.

Lattice parameters (Å, degrees): 5.489 5.489 5.489 60.00 60.00 60.00
Fractional positions:
La 0.250 0.250 0.250
La 0.750 0.750 0.750
Tl 0.000 0.000 0.000
V 0.500 0.500 0.500

Results
Distance to the lowest polymorph of the same formula = 0.0 meV/atom

=====

Entry 8:
Density functional theory data (GGA-PBE) for a geometry-optimized La2TlV structure.

Lattice parameters (Å, degrees): 6.787 6.787 6.787 102.13 102.13 125.43
Fractional positions:
La 0.079 0.625 0.954
La 0.375 0.329 0.454
La 0.671 0.125 0.046
La 0.875 0.921 0.546
Tl 0.250 0.750 0.500
Tl 0.500 0.500 0.000
V 0.000 0.000 0.000
V 0.750 0.250 0.500

Results
Distance to the lowest polymorph of the same formula = 316.2 meV/atom

=====

Entry 9:
Density functional theory data (GGA-PBE) for a geometry-optimized LaTl2W structure.

Lattice parameters (Å, degrees): 5.829 5.829 5.829 133.77 133.77 67.44
Fractional positions:
La 0.000 0.000 0.000
Tl 0.250 0.750 0.500
Tl 0.500 0.500 0.000
W 0.750 0.250 0.500

Results
Distance to the lowest polymorph of the same formula = 181.4 meV/atom

=====

Entry 10:
Density functional theory data (GGA-PBE) for a geometry-optimized LaTl2W structure.

Lattice parameters (Å, degrees): 5.300 5.300 5.300 60.00 60.00 60.00
Fractional positions:
La 0.000 0.000 0.000
Tl 0.500 0.500 0.500
Tl 0.750 0.750 0.750
W 0.250 0.250 0.250

Results
Distance to the lowest polymorph of the same formula = 323.0 meV/atom

=====

Entry 11:
Density functional theory data (GGA-PBE) for a geometry-optimized LaTlW structure.

Lattice parameters (Å, degrees): 6.686 6.686 6.686 153.12 146.51 43.45
Fractional positions:
La 0.000 0.000 0.000
Tl 0.706 0.706 0.000
W 0.336 0.336 0.000

Results
Distance to the lowest polymorph of the same formula = 29.5 meV/atom

=====

Entry 12:
Density functional theory data (GGA-PBE) for a geometry-optimized LaTlW4 structure.

Lattice parameters (Å, degrees): 5.567 5.567 5.567 60.00 60.00 60.00
Fractional positions:
La 0.000 0.000 0.000
Tl 0.750 0.750 0.750
W 0.374 0.374 0.374
W 0.374 0.374 0.877
W 0.374 0.877 0.374
W 0.877 0.374 0.374

=====

Entry 13:
Density functional theory data (GGA-PBE) for a geometry-optimized LaTl2W structure.

Lattice parameters (Å, degrees): 3.145 4.463 6.866 90.00 90.00 90.00
Fractional positions:
La 0.000 0.000 0.000
Tl 0.500 0.500 0.285
Tl 0.500 0.500 0.715
W 0.000 0.000 0.500

Results
Distance to the lowest polymorph of the same formula = 20.2 meV/atom

=====

Entry 14:
Density functional theory data (GGA-PBE) for a geometry-optimized LaTl2W structure.

Lattice parameters (Å, degrees): 3.214 3.214 10.464 90.00 90.00 110.27
Fractional positions:
La 0.000 0.000 0.000
Tl 0.000 0.000 0.561
Tl 0.500 0.500 0.296
W 0.500 0.500 0.779

Results
Distance to the lowest polymorph of the same formula = 64.9 meV/atom

=====

Entry 15:
Density functional theory data (GGA-PBE) for a geometry-optimized LaTl2W structure.

Lattice parameters (Å, degrees): 4.541 4.574 4.826 90.00 90.00 90.00
Fractional positions:
La 0.000 0.000 0.000
Tl 0.000 0.500 0.500
Tl 0.500 0.000 0.500
W 0.500 0.500 0.000

Results
Distance to the lowest polymorph of the same formula = 135.0 meV/atom

=====

Entry 16:
Density functional theory data (GGA-PBE) for a geometry-optimized LaTl2W structure.

Lattice parameters (Å, degrees): 3.127 3.127 10.558 90.00 90.00 111.08
Fractional positions:
La 0.000 0.000 0.000
Tl 0.500 0.500 0.277
Tl 0.500 0.500 0.723
W 0.000 0.000 0.500

Results
Distance to the lowest polymorph of the same formula = 94.0 meV/atom

=====

Entry 17:
Density functional theory data (GGA-PBE) for a geometry-optimized LaTl2W structure.

Lattice parameters (Å, degrees): 11.325 11.325 11.325 157.28 157.28 32.36
Fractional positions:
La 0.000 0.000 0.000
La 0.750 0.250 0.500
Tl 0.163 0.625 0.038
Tl 0.375 0.413 0.538
Tl 0.587 0.125 0.962
Tl 0.875 0.837 0.462
W 0.250 0.750 0.500
W 0.500 0.500 0.000

Results
Distance to the lowest polymorph of the same formula = 317.6 meV/atom

=====

Entry 18:
Density functional theory data (GGA-PBE) for a geometry-optimized LaTlW3 structure.

Lattice parameters (Å, degrees): 5.075 5.075 5.075 90.00 90.00 90.00
Fractional positions:
La 0.000 0.000 0.000
Tl 0.500 0.500 0.500
W 0.000 0.500 0.500
W 0.500 0.000 0.500
W 0.500 0.500 0.000

Results
Distance to the lowest polymorph of the same formula = 0.0 meV/atom

=====

Entry 19:
Density functional theory data (GGA-PBE) for a geometry-optimized LaTlW structure.

Lattice parameters (Å, degrees): 5.125 5.125 5.125 60.00 60.00 60.00
Fractional positions:
La 0.000 0.000 0.000
Tl 0.250 0.250 0.250
W 0.750 0.750 0.750

Results
Distance to the lowest polymorph of the same formula = 836.8 meV/atom

=====

Entry 20:
Density functional theory data (GGA-PBE) for a geometry-optimized LaTl2W structure.

Lattice parameters (Å, degrees): 5.928 5.928 3.090 90.00 90.00 115.88
Fractional positions:
La 0.000 0.000 0.000
Tl 0.000 0.500 0.500
Tl 0.500 0.000 0.500
W 0.500 0.500 0.000

Results
Distance to the lowest polymorph of the same formula = 206.6 meV/atom

=====

| no. | ΔE_f (meV per atom) |
| --- | --- |
| 1 | -84.2 |
| 2 | -294.7 |
| 3 | 515.1 |
| 4 | 890.6 |
| 5 | 186.8 |
| 6 | 480.5 |
| 7 | 58.3 |
| 8 | 374.5 |
| 9 | 683.9 |
| 10 | 825.6 |
| 11 | 672.1 |
| 12 | 623.2 |
| 13 | 522.7 |
| 14 | 567.5 |
| 15 | 637.6 |
| 16 | 596.5 |
| 17 | 820.2 |
| 18 | 2519.0 |
| 19 | 1479.3 |
| 20 | 709.1 |